FePC2: relaxed, PBE.

abc: 2.642 2.743 5.549
angles: 90.00 103.03 90.00
Space group Pm (No. 6)
One atom of each set of equivalent atoms:
Fe1 0.000 0.000 0.000 (multiplicity 1)
P1 0.208 0.000 0.398 (multiplicity 1)
C1 0.306 0.500 0.599 (multiplicity 1)
C2 0.435 0.500 0.863 (multiplicity 1)

Computed properties:
Theoretical density: 4.697 g cm⁻³
ΔH_f (0 K): 558.3 meV per atom
DOS at the Fermi energy: 2.4 states/eV per cell
Total energy: -7.52 eV per atom